DFT (GGA+U) results for a relaxed structure of MoCNF2.

```
MoCNF2
1.0
4.0916 0.0000 0.0000
0.0000 4.0916 0.0000
0.0000 0.0000 4.0036
Mo N C F
1 1 1 2
direct
0.0000 0.0000 0.0000
0.0000 0.0000 0.5000
0.5000 0.5000 0.5000
0.0000 0.5000 0.0000
0.5000 0.0000 0.0000
```

- space-group type = No. 123
- E_tot (eV/atom) = -5.0004
- energy above the lowest structure with this stoichiometry (meV/atom) = 576.3